80
Lattice="-5.895 5.895 5.895 5.895 -5.895 5.895 5.895 5.895 -5.895" Properties=species:S:1:pos:R:3 comment="Li5Mg3F12 (GGA-PBE, relaxed)" magmom_total_mub_per_fu=1.223 total_energy_ev_per_atom=-4.771 pbc="T T T"
Li 0.000 0.000 0.000
Li 2.948 2.948 -2.948
Li 2.948 -2.948 2.948
Li 5.895 0.000 0.000
Li 8.843 1.474 0.000
Li 5.895 -2.948 4.421
Li 4.421 5.895 -2.948
Li 4.421 0.000 2.948
Li 2.948 4.421 0.000
Li 5.895 2.948 1.474
Li -2.948 2.948 2.948
Li 0.000 5.895 0.000
Li 0.000 0.000 5.895
Li 2.948 2.948 2.948
Li 0.000 2.948 4.421
Li 2.948 1.474 5.895
Li 1.474 5.895 2.948
Li 1.474 0.000 8.843
Li 0.000 8.843 1.474
Li -2.948 4.421 5.895
Mg 2.948 1.474 0.000
Mg 5.895 2.948 -1.474
Mg 1.474 0.000 2.948
Mg 7.369 0.000 2.948
Mg 0.000 2.948 1.474
Mg 2.948 -1.474 5.895
Mg 2.948 7.369 0.000
Mg 5.895 2.948 4.421
Mg -1.474 5.895 2.948
Mg 4.421 5.895 2.948
Mg 0.000 2.948 7.369
Mg 2.948 4.421 5.895
F 1.837 -0.271 0.793
F 7.006 3.740 -3.219
F 5.624 -0.793 1.837
F 9.114 -1.111 2.155
F 7.732 0.271 0.793
F 7.006 -2.155 3.219
F 0.793 1.837 -0.271
F 8.050 2.677 -1.111
F 3.740 3.219 -1.111
F 5.103 1.837 0.271
F -0.271 0.793 1.837
F 3.219 -1.111 3.740
F 5.624 5.103 -1.837
F 3.219 1.111 2.155
F 5.103 -1.837 5.624
F 3.740 -3.219 7.006
F 2.155 3.219 1.111
F 6.688 4.059 0.271
F 1.837 5.624 -0.793
F 7.006 2.155 2.677
F 3.219 7.006 -2.155
F 5.624 0.793 4.059
F 1.111 2.155 3.219
F 1.837 0.271 5.103
F 4.059 5.624 0.793
F 4.784 3.740 2.677
F 0.271 5.103 1.837
F 2.677 -1.111 8.050
F -1.111 3.740 3.219
F 4.059 0.271 6.688
F -0.793 1.837 5.624
F 3.740 2.677 4.784
F 2.155 9.114 -1.111
F 0.793 7.732 0.271
F 2.677 4.784 3.740
F 0.271 0.793 7.732
F 2.677 7.006 2.155
F 6.166 5.103 4.059
F 0.793 4.059 5.624
F 2.155 2.677 7.006
F -2.155 3.219 7.006
F 5.103 4.059 6.166
F -1.111 8.050 2.677
F -1.837 5.624 5.103
F -3.219 7.006 3.740
F 0.271 6.688 4.059
F -1.111 2.155 9.114
F 4.059 6.166 5.103

---

4
Lattice="0.000 2.885 2.885 2.885 0.000 2.885 2.885 2.885 0.000" Properties=species:S:1:pos:R:3 comment="LiMgF2 (GGA-PBE, relaxed)" magmom_total_mub_per_fu=0.000 total_energy_ev_per_atom=-3.820 pbc="T T T"
Li 0.000 0.000 0.000
Mg 2.885 2.885 2.885
F 1.443 1.443 1.443
F 4.328 4.328 4.328

---

8
Lattice="-2.995 2.995 4.202 2.995 -2.995 4.202 2.995 2.995 -4.202" Properties=species:S:1:pos:R:3 comment="Li2MgF (GGA-PBE, relaxed)" magmom_total_mub_per_fu=0.000 total_energy_ev_per_atom=-3.101 pbc="T T T"
Li 0.274 1.497 1.050
Li -1.497 2.721 3.151
Li -0.274 4.492 1.050
Li 1.497 3.268 3.151
Mg 2.995 0.000 2.101
Mg 0.000 0.000 4.202
F 0.000 0.000 0.000
F 0.000 2.995 2.101

---

4
Lattice="1.587 0.916 5.993 -1.587 0.916 5.993 0.000 -1.832 5.993" Properties=species:S:1:pos:R:3 comment="LiMgF2 (GGA-PBE, relaxed)" magmom_total_mub_per_fu=0.000 total_energy_ev_per_atom=-4.301 pbc="T T T"
Li 0.000 0.000 0.000
Mg 0.000 0.000 8.990
F 0.000 0.000 7.075
F 0.000 0.000 10.905

---

8
Lattice="-2.418 2.418 4.744 2.418 -2.418 4.744 2.418 2.418 -4.744" Properties=species:S:1:pos:R:3 comment="LiMgF2 (GGA-PBE, relaxed)" magmom_total_mub_per_fu=0.000 total_energy_ev_per_atom=-4.244 pbc="T T T"
Li 0.000 0.000 0.000
Li 0.000 2.418 2.372
Mg 2.418 0.000 2.372
Mg 0.000 0.000 4.744
F 3.627 1.146 -1.186
F 1.146 1.209 1.186
F -1.209 1.272 3.558
F 1.272 1.209 5.931